A plane-wave DFT calculation with meta-GGA SCAN was carried out for a PBEsol-optimized structure of SrBIN2.

```
SrBIN2
1.0
-4.786 -0.057 -0.134
0.139 -3.034 -3.702
-0.055 -5.022 4.114
I Sr B N
1 1 1 2
direct
0.000 0.000 0.500
0.000 0.000 0.000
0.500 0.500 0.500
0.000 0.500 0.000
0.500 0.000 0.000
```

Computed properties:
**Density**: 2.83 Mg/m³
**N(E_F)**: 0.37 states/eV/atom
**M_tot**: 4.0 μB/cell
**Uncorrected formation energy**: 1.868 eV per atom